(1)
The following is a DFT calculation (PBE) of a relaxed structure of La2CuAg.

a b c (Å): 6.2716 6.2716 4.8814
angles (deg): 111.85 111.85 34.84
Last column: nearest neighbours and their distance in Å.
Element x y z (fractional)
La: 0.0000 0.0000 0.0000  4 Cu 3.12-3.13, 2 La 3.27-3.28, 1 Ag 3.40
La: 0.1980 0.1980 0.6890  4 Ag 3.19-3.21, 2 La 3.27-3.28, 2 Cu 3.29
Cu: 0.4530 0.4530 0.4567  2 Ag 2.71
Ag: 0.7765 0.7765 0.2662  2 Cu 2.71

The formation energy is -110 meV per atom. The total energy comes out at -4.311 eV per atom. As for the excess energy over the best structure of this formula in the dataset: 0.0895 eV per atom. The value obtained for the calculated volume is 101.0 Å³/cell. The calculated density is 7.4 Mg/m³. As for the crystal system: monoclinic. As for the space group: No. 8.

(2)
The following is a DFT calculation (PBE) of a relaxed structure of LaCuAg2.

a b c (Å): 3.5406 4.7167 5.2155
angles (deg): 90.00 90.00 90.00
Last column: nearest neighbours and their distance in Å.
Element x y z (fractional)
La: 0.0000 0.0000 0.0000  4 Cu 2.95, 4 Ag 3.15
Cu: 0.5000 0.5000 0.0000  4 La 2.95, 4 Ag 3.15
Ag: 0.0000 0.5000 0.5000  4 Ag 2.95, 4 Cu 3.15
Ag: 0.5000 0.0000 0.5000  4 Ag 2.95, 4 La 3.15

The formation energy is 72 meV per atom. The total energy comes out at -3.609 eV per atom. The value obtained for the calculated volume is 87.1 Å³/cell. The calculated density is 8.0 Mg/m³. As for the crystal system: orthorhombic. As for the space group: No. 47.

(3)
The following is a DFT calculation (PBE) of a relaxed structure of La4CuAg.

a b c (Å): 3.7646 3.7646 12.7141
angles (deg): 90.00 90.00 90.00
Last column: nearest neighbours and their distance in Å.
Element x y z (fractional)
La: 0.0000 0.0000 0.1354  4 Cu 3.17, 1 La 3.44
La: 0.0000 0.0000 0.8646  4 Cu 3.17, 1 La 3.44
La: 0.5000 0.5000 0.3472  4 Ag 3.30
La: 0.5000 0.5000 0.6528  4 Ag 3.30
Cu: 0.5000 0.5000 0.0000  8 La 3.17
Ag: 0.0000 0.0000 0.5000  8 La 3.30

The formation energy is -109 meV per atom. The total energy comes out at -4.551 eV per atom. As for the excess energy over the best structure of this formula in the dataset: 0.0000 eV per atom. The value obtained for the calculated volume is 180.2 Å³/cell. The calculated density is 6.7 Mg/m³. As for the crystal system: tetragonal. As for the space group: No. 123.

(4)
The following is a DFT calculation (PBE) of a relaxed structure of LaCuAg2.

a b c (Å): 10.9689 10.9689 10.9689
angles (deg): 158.12 158.12 31.14
Last column: nearest neighbours and their distance in Å.
Element x y z (fractional)
La: 0.0000 0.0000 0.0000  4 Cu 2.94, 4 Ag 3.07
La: 0.7500 0.2500 0.5000  4 Cu 2.94, 4 Ag 3.07
Cu: 0.2500 0.7500 0.5000  4 La 2.94, 4 Ag 2.98
Cu: 0.5000 0.5000 0.0000  4 La 2.94, 4 Ag 2.98
Ag: 0.1571 0.6250 0.0321  2 Ag 2.76, 2 Cu 2.98, 2 La 3.07
Ag: 0.3750 0.4071 0.5321  2 Ag 2.76, 2 Cu 2.98, 2 La 3.07
Ag: 0.5929 0.1250 0.9679  2 Ag 2.76, 2 Cu 2.98, 2 La 3.07
Ag: 0.8750 0.8429 0.4679  2 Ag 2.76, 2 Cu 2.98, 2 La 3.07

The formation energy is 122 meV per atom. The total energy comes out at -3.559 eV per atom. The value obtained for the calculated volume is 183.1 Å³/cell. The calculated density is 7.6 Mg/m³. As for the crystal system: tetragonal. As for the space group: No. 122.

(5)
The following is a DFT calculation (PBE) of a relaxed structure of La6Cu5Ag.

a b c (Å): 5.2389 7.3153 8.2691
angles (deg): 90.00 108.39 90.00
Last column: nearest neighbours and their distance in Å.
Element x y z (fractional)
La: 0.0000 0.2394 0.0000  6 Cu 3.12-3.19, 2 Ag 3.24
La: 0.0000 0.7606 0.0000  6 Cu 3.12-3.19, 2 Ag 3.24
La: 0.3298 0.2471 0.6571  7 Cu 3.14-3.24, 1 Ag 3.27
La: 0.3298 0.7529 0.6571  7 Cu 3.14-3.24, 1 Ag 3.27
La: 0.6702 0.2471 0.3429  7 Cu 3.14-3.24, 1 Ag 3.27
La: 0.6702 0.7529 0.3429  7 Cu 3.14-3.24, 1 Ag 3.27
Cu: 0.1622 0.5000 0.3260  8 La 3.19-3.21
Cu: 0.1631 0.0000 0.3296  8 La 3.12-3.19
Cu: 0.5000 0.0000 0.0000  8 La 3.15-3.24
Cu: 0.8369 0.0000 0.6704  8 La 3.12-3.19
Cu: 0.8378 0.5000 0.6740  8 La 3.19-3.21
Ag: 0.5000 0.5000 0.0000  8 La 3.24-3.27

The formation energy is -150 meV per atom. The total energy comes out at -4.558 eV per atom. The value obtained for the calculated volume is 300.7 Å³/cell. The calculated density is 7.0 Mg/m³. As for the crystal system: monoclinic. As for the space group: No. 10.

(6)
The following is a DFT calculation (PBE) of a relaxed structure of La5Cu2Ag.

a b c (Å): 9.7324 9.7324 9.7324
angles (deg): 134.64 134.64 66.08
Last column: nearest neighbours and their distance in Å.
Element x y z (fractional)
La: 0.0000 0.0000 0.0000  4 Cu 2.99
La: 0.0140 0.5140 0.8210  3 Cu 3.20-3.34, 2 Ag 3.29, 1 La 3.41
La: 0.1930 0.0140 0.5000  3 Cu 3.20-3.34, 2 Ag 3.29, 1 La 3.41
La: 0.3070 0.8070 0.8210  3 Cu 3.20-3.34, 2 Ag 3.29, 1 La 3.41
La: 0.4860 0.3070 0.5000  3 Cu 3.20-3.34, 2 Ag 3.29, 1 La 3.41
La: 0.5000 0.5000 0.0000  4 Cu 2.99
La: 0.5140 0.6930 0.5000  3 Cu 3.20-3.34, 2 Ag 3.29, 1 La 3.41
La: 0.6930 0.1930 0.1790  3 Cu 3.20-3.34, 2 Ag 3.29, 1 La 3.41
La: 0.8070 0.9860 0.5000  3 Cu 3.20-3.34, 2 Ag 3.29, 1 La 3.41
La: 0.9860 0.4860 0.1790  3 Cu 3.20-3.34, 2 Ag 3.29, 1 La 3.41
Cu: 0.1197 0.3803 0.5000  1 Cu 2.54
Cu: 0.3803 0.8803 0.2606  1 Cu 2.54
Cu: 0.6197 0.1197 0.7394  1 Cu 2.54
Cu: 0.8803 0.6197 0.5000  1 Cu 2.54
Ag: 0.2500 0.2500 0.0000  8 La 3.29
Ag: 0.7500 0.7500 0.0000  8 La 3.29

The formation energy is -115 meV per atom. The total energy comes out at -4.575 eV per atom. The value obtained for the calculated volume is 459.5 Å³/cell. The calculated density is 6.7 Mg/m³. As for the crystal system: tetragonal. As for the space group: No. 140.

(7)
The following is a DFT calculation (PBE) of a relaxed structure of La3Cu2Ag.

a b c (Å): 5.2746 5.2746 12.8283
angles (deg): 90.00 90.00 120.00
Last column: nearest neighbours and their distance in Å.
Element x y z (fractional)
La: 0.0000 0.0000 0.2407  5 Cu 3.09-3.33, 3 Ag 3.25
La: 0.0000 0.0000 0.7593  5 Cu 3.09-3.33, 3 Ag 3.25
La: 0.3333 0.6667 0.4172  4 Cu 3.18-3.23, 4 Ag 3.25-3.27
La: 0.3333 0.6667 0.9272  7 Cu 3.10-3.29, 1 Ag 3.28
La: 0.6667 0.3333 0.0728  7 Cu 3.10-3.29, 1 Ag 3.28
La: 0.6667 0.3333 0.5828  4 Cu 3.18-3.23, 4 Ag 3.25-3.27
Cu: 0.0000 0.0000 0.0000  8 La 3.09-3.19
Cu: 0.0000 0.0000 0.5000  8 La 3.23-3.33
Cu: 0.3333 0.6667 0.1692  8 La 3.10-3.29
Cu: 0.6667 0.3333 0.8308  8 La 3.10-3.29
Ag: 0.3333 0.6667 0.6718  8 La 3.25-3.28
Ag: 0.6667 0.3333 0.3282  8 La 3.25-3.28

The formation energy is -164 meV per atom. The total energy comes out at -4.468 eV per atom. As for the excess energy over the best structure of this formula in the dataset: 0.0128 eV per atom. The value obtained for the calculated volume is 309.1 Å³/cell. The calculated density is 7.0 Mg/m³. As for the crystal system: trigonal. As for the space group: No. 164.

(8)
The following is a DFT calculation (PBE) of a relaxed structure of LaCu2Ag.

a b c (Å): 4.8778 4.8778 3.3053
angles (deg): 90.15 90.15 89.73
Last column: nearest neighbours and their distance in Å.
Element x y z (fractional)
La: 0.0000 0.0000 0.0000  8 Cu 2.94-2.95
Cu: 0.0000 0.5000 0.5000  4 Ag 2.94-2.95, 4 La 2.94-2.95
Cu: 0.5000 0.0000 0.5000  4 Ag 2.94-2.95, 4 La 2.94-2.95
Ag: 0.5000 0.5000 0.0000  8 Cu 2.94-2.95

The formation energy is 118 meV per atom. The total energy comes out at -3.875 eV per atom. The value obtained for the calculated volume is 78.6 Å³/cell. The calculated density is 7.9 Mg/m³. As for the crystal system: monoclinic. As for the space group: No. 12.